(1)
CaTaV2: optimized geometry, PBE-GGA.

```
4
Lattice="0.000 3.329 3.329 3.329 0.000 3.329 3.329 3.329 0.000" Properties=species:S:1:pos:R:3 pbc="T T T"
Ta 3.329 3.329 3.329
V 1.664 1.664 1.664
V 4.993 4.993 4.993
Ca 0.000 0.000 0.000
```

Results
Density = 7268 kg/m3
Formation enthalpy at 0 K = 0.759 eV/atom
Spin magnetization = 3.25 μB per formula unit
Symmetry = Fm-3m (225)
ΔE to the lowest computed polymorph = 0.000 eV/f.u.

(2)
Tb2PrSm6Dy3: optimized geometry, PBE-GGA.

```
12
Lattice="6.242 0.000 0.011 -3.119 5.406 0.011 -1.059 -1.833 11.739" Properties=species:S:1:pos:R:3 pbc="T T T"
Dy -2.086 3.587 5.880
Dy 1.032 1.787 5.880
Dy 4.149 -0.014 5.880
Sm -0.012 -0.021 8.786
Sm 2.083 -0.005 2.964
Sm -0.019 3.579 8.797
Sm -1.046 1.801 2.964
Sm 3.110 1.772 8.797
Sm 2.076 3.595 2.975
Tb 3.121 1.803 0.011
Tb 0.002 3.604 0.011
Pr 0.000 0.000 0.000
```

Results
Density = 7743 kg/m3
Formation enthalpy at 0 K = 0.014 eV/atom
Spin magnetization = 0.00 μB per formula unit
Symmetry = C2/m (12)

(3)
Ac2SmRu2: optimized geometry, PBE-GGA.

```
10
Lattice="-3.663 2.433 -1.228 -4.553 -3.934 -2.699 -6.212 -1.123 7.819" Properties=species:S:1:pos:R:3 pbc="T T T"
Ru -9.856 -1.160 1.642
Ru -9.915 0.686 5.475
Ru -4.513 -3.311 -1.582
Ru -4.572 -1.464 2.251
Sm -5.420 1.312 1.794
Sm -9.008 -3.937 2.098
Ac -11.477 -2.262 4.292
Ac -2.951 -0.362 -0.400
Ac -6.752 -1.587 0.025
Ac -7.676 -1.037 3.867
```

Results
Density = 9744 kg/m3
Formation enthalpy at 0 K = -0.113 eV/atom
Spin magnetization = 0.00 μB per formula unit
Symmetry = C2/m (12)

(4)
Ac5Mg3Te12: optimized geometry, PBE-GGA.

```
80
Lattice="-12.071 9.218 -5.825 -0.667 -14.752 -6.821 -1.554 -1.410 16.131" Properties=species:S:1:pos:R:3 pbc="T T T"
Te -4.269 -7.002 4.760
Te -9.309 -0.948 2.069
Te -5.530 0.916 5.916
Te -3.355 -1.199 10.131
Te -1.447 -12.640 -4.355
Te -5.261 -0.757 1.260
Te -12.347 -5.118 1.474
Te -2.667 -13.357 -1.047
Te -8.523 -0.892 9.722
Te -12.830 -4.253 -1.984
Te -8.379 -9.601 1.297
Te -1.462 -2.691 5.469
Te -12.844 5.696 7.840
Te -10.729 0.960 7.567
Te -11.911 0.160 -6.392
Te -12.477 -2.388 5.891
Te -6.580 -2.352 4.838
Te -4.644 -4.390 9.204
Te -1.814 -4.556 -2.406
Te -5.146 -11.891 7.568
Te -5.044 -3.243 -3.294
Te -11.442 3.679 0.120
Te -5.010 -8.724 -0.930
Te -2.381 -7.104 9.877
Te -3.609 -0.516 13.654
Te -8.762 -7.860 -2.432
Te -7.931 4.411 -0.170
Te -11.624 6.413 4.532
Te -4.982 -5.996 1.415
Te -9.282 1.780 4.415
Te -7.101 -8.420 6.467
Te -9.145 4.947 -4.083
Te -10.937 -5.745 -6.646
Te -3.562 -7.904 -4.083
Te -6.361 -11.355 3.654
Te -11.920 2.667 -3.858
Te -1.944 -1.827 2.010
Te -5.913 2.657 2.188
Te -7.191 1.476 -2.983
Te -2.372 -9.611 7.342
Te -10.683 -6.428 -10.170
Te -10.022 0.058 -1.275
Te -9.248 -3.701 6.779
Te -9.031 -6.187 2.224
Te -2.850 -10.624 3.364
Te -5.769 -6.052 -6.238
Te -7.711 -4.592 -1.353
Te -9.647 -2.554 -5.720
Ac -8.516 -7.500 -5.577
Ac 0.000 0.000 0.000
Ac -2.592 -10.441 0.205
Ac -2.147 -4.732 0.747
Ac -7.146 -3.472 1.742
Ac -1.110 -8.081 4.655
Ac -12.144 -2.212 2.738
Ac -10.053 -2.835 -2.583
Ac -5.775 0.555 9.061
Ac -9.404 -6.537 5.358
Ac -3.795 -10.780 -5.409
Ac -4.239 -4.109 6.068
Ac -4.888 -0.408 -1.873
Ac -6.369 -2.767 -6.323
Ac -0.333 -7.376 -3.411
Ac -10.496 3.836 8.893
Ac -6.035 4.609 -2.913
Ac -0.777 -0.705 8.065
Ac -6.812 3.904 5.153
Ac -11.700 3.497 3.280
Mg -4.794 -8.149 8.395
Mg -5.998 -8.489 2.781
Mg -11.034 5.869 -1.917
Mg -3.258 -12.813 5.401
Mg -3.035 -3.769 11.681
Mg -9.497 1.205 -4.910
Mg -5.332 -6.116 -2.415
Mg -3.684 -0.068 3.740
Mg -8.960 -0.828 5.900
Mg -11.256 -3.175 -8.197
Mg -8.294 1.544 0.703
Mg -10.608 -6.876 -0.256
```

Results
Density = 5491 kg/m3
Spin magnetization = 0.00 μB per formula unit
Symmetry = Ia-3d (230)
Energy relative to the elements, uncorrected = -1523.2 kJ/mol of formula units

(5)
Cd2SiGe2: optimized geometry, PBE-GGA.

```
10
Lattice="-6.576 -0.111 0.784 0.057 -6.608 -0.451 0.585 -0.326 4.858" Properties=species:S:1:pos:R:3 pbc="T T T"
Ge -5.622 -4.320 0.387
Ge -0.896 -2.398 -0.053
Ge -2.322 -5.727 -0.105
Ge -4.196 -0.992 0.439
Si -3.259 -3.359 0.167
Si 0.000 0.000 0.000
Cd -4.140 -5.649 2.594
Cd -5.073 -2.360 2.927
Cd -0.860 -4.685 2.264
Cd -1.793 -1.396 2.597
```

Results
Density = 6148 kg/m3
Spin magnetization = 0.00 μB per formula unit
Symmetry = P4/mbm (127)
Energy relative to the elements, uncorrected = 151.4 kJ/mol of formula units

(6)
Tl3CdW: optimized geometry, PBE-GGA.

```
5
Lattice="-5.171 -1.343 1.102 1.125 0.051 5.338 -1.324 5.287 0.229" Properties=species:S:1:pos:R:3 pbc="T T T"
Tl -2.586 -0.671 0.551
Tl -0.662 2.644 0.114
Tl 0.562 0.025 2.669
W 0.000 0.000 0.000
Cd -2.685 1.998 3.335
```

Results
Density = 9300 kg/m3
Formation enthalpy at 0 K = 0.816 eV/atom
Spin magnetization = 0.78 μB per formula unit
Symmetry = Pm-3m (221)
ΔE to the lowest computed polymorph = 0.000 eV/f.u.

(7)
AsPd3Se: optimized geometry, PBE-GGA.

```
10
Lattice="0.043 -2.780 -2.304 5.081 -2.624 3.261 -4.244 -2.832 6.170" Properties=species:S:1:pos:R:3 pbc="T T T"
Pd 3.629 -5.480 3.851
Pd 0.420 -7.435 6.151
Pd 1.564 -3.488 4.239
Pd -2.749 -2.756 3.276
Pd -0.684 -4.748 2.888
Pd 0.459 -0.801 0.976
Se 3.204 -3.873 1.903
Se -2.324 -4.364 5.224
As -0.141 -2.299 2.772
As 1.020 -5.937 4.355
```

Results
Density = 8533 kg/m3
Spin magnetization = 0.00 μB per formula unit
Symmetry = C2/m (12)
Energy relative to the elements, uncorrected = -123.6 kJ/mol of formula units
ΔE to the lowest computed polymorph = 0.000 eV/f.u.

(8)
DySc3Al: optimized geometry, PBE-GGA.

```
10
Lattice="3.267 0.002 0.000 -1.625 7.833 0.000 0.000 0.000 10.214" Properties=species:S:1:pos:R:3 pbc="T T T"
Al 0.814 1.578 2.554
Al 0.828 6.258 7.661
Sc 2.448 1.457 0.134
Sc 0.824 7.052 2.554
Sc -0.806 6.379 5.241
Sc 0.819 0.783 7.661
Sc -0.806 6.379 10.080
Sc 2.448 1.457 4.973
Dy 2.463 3.752 7.661
Dy -0.821 4.083 2.554
```

Results
Density = 4121 kg/m3
Formation enthalpy at 0 K = 0.023 eV/atom
Spin magnetization = 0.00 μB per formula unit
Symmetry = P2_1/m (11)
ΔE to the lowest computed polymorph = 0.908 eV/f.u.

(9)
MnPt2Se: optimized geometry, PBE-GGA.

```
4
Lattice="8.743 -0.163 -0.095 8.295 2.770 -0.095 8.295 1.269 2.463" Properties=species:S:1:pos:R:3 pbc="T T T"
Mn 19.000 2.907 1.704
Pt 12.549 1.920 1.126
Pt 0.117 0.018 0.011
Se 6.333 0.969 0.568
```

Results
Density = 13316 kg/m3
Spin magnetization = 4.31 μB per formula unit
Symmetry = R-3m (166)
Energy relative to the elements, uncorrected = 0.0 kJ/mol of formula units

(10)
NbCu2Au3: optimized geometry, PBE-GGA.

```
6
Lattice="-2.240 -0.054 1.963 -1.948 -0.317 -2.231 0.906 -10.747 0.736" Properties=species:S:1:pos:R:3 pbc="T T T"
Au 0.620 -7.359 0.504
Au 0.285 -3.388 0.232
Au 0.000 0.000 0.000
Nb -1.641 -5.559 0.234
Cu -1.953 -1.861 -0.019
Cu -1.329 -9.258 0.487
```

Results
Density = 14040 kg/m3
Formation enthalpy at 0 K = -0.068 eV/atom
Spin magnetization = 0.00 μB per formula unit
Symmetry = P4/mmm (123)